The following is a PBE-GGA calculation of a relaxed Ba2NaCuNi crystal, from Alexandria via LeMat-Bulk.

Computed properties:
The symmetry is P4/mmm, No. 123. Its density of states at the Fermi level is 0.548 states/eV/atom. The energy of formation is 0.124 eV per atom. The theoretical density comes out at 4.06 Mg/m³. As for the crystal system: tetragonal. As for the energy: -2.885 eV per atom.

Cell lengths 6.039, 6.039, 4.708 Å; angles 90.00, 90.00, 90.00 degrees
Fractional coordinates of all 5 atoms:
1 Ba 0.000 0.500 0.000
2 Ba 0.500 0.000 0.000
3 Na 0.000 0.000 0.500
4 Cu 0.500 0.500 0.500
5 Ni 0.500 0.500 0.000



The following is a PBE-GGA calculation of a relaxed Ho3Hg4 crystal, from Alexandria via LeMat-Bulk.

Computed properties:
For the energy above the lowest structure with this stoichiometry, the calculation gives 80 meV/atom. The symmetry is R-3m, No. 166. Its density of states at the Fermi level is 0.769 states/eV/atom. The energy of formation is -0.335 eV per atom. The theoretical density comes out at 11.19 Mg/m³. As for the crystal system: trigonal. As for the energy: -2.469 eV per atom.

Cell lengths 9.120, 9.120, 9.120 Å; angles 32.29, 32.29, 32.29 degrees
Fractional coordinates of all 7 atoms:
1 Ho 0.000 0.000 0.000
2 Ho 0.245 0.245 0.245
3 Ho 0.755 0.755 0.755
4 Hg 0.127 0.127 0.127
5 Hg 0.375 0.375 0.375
6 Hg 0.625 0.625 0.625
7 Hg 0.873 0.873 0.873



The following is a PBE-GGA calculation of a relaxed Ho4Er2Tm7 crystal, from Alexandria via LeMat-Bulk.

Computed properties:
The symmetry is P-31m, No. 162. Its density of states at the Fermi level is 1.272 states/eV/atom. The energy of formation is 0.179 eV per atom. The theoretical density comes out at 8.94 Mg/m³. As for the crystal system: trigonal. As for the energy: -4.339 eV per atom.

Cell lengths 5.966, 5.966, 13.118 Å; angles 90.00, 90.00, 120.00 degrees
Fractional coordinates of all 13 atoms:
1 Ho 0.000 0.000 0.106
2 Ho 0.000 0.000 0.894
3 Ho 0.333 0.667 0.000
4 Ho 0.667 0.333 0.000
5 Er 0.333 0.667 0.500
6 Er 0.667 0.333 0.500
7 Tm 0.000 0.000 0.500
8 Tm 0.000 0.352 0.714
9 Tm 0.000 0.648 0.286
10 Tm 0.352 0.000 0.714
11 Tm 0.352 0.352 0.286
12 Tm 0.648 0.000 0.286
13 Tm 0.648 0.648 0.714



The following is a PBE-GGA calculation of a relaxed Ta2AgPb crystal, from Alexandria via LeMat-Bulk.

Computed properties:
The symmetry is Cmmm, No. 65. Its density of states at the Fermi level is 0.655 states/eV/atom. The energy of formation is 0.519 eV per atom. The theoretical density comes out at 14.42 Mg/m³. As for the crystal system: orthorhombic. As for the energy: -7.048 eV per atom.

Cell lengths 5.372, 5.372, 2.972 Å; angles 90.00, 90.00, 114.71 degrees
Fractional coordinates of all 4 atoms:
1 Ta 0.000 0.500 0.000
2 Ta 0.500 0.000 0.000
3 Ag 0.000 0.000 0.500
4 Pb 0.500 0.500 0.500



The following is a PBE-GGA calculation of a relaxed La5Tb2Tl4 crystal, from Alexandria via LeMat-Bulk.

Computed properties:
For the energy above the lowest structure with this stoichiometry, the calculation gives 0 meV/atom. The symmetry is P2/m, No. 10. Its density of states at the Fermi level is 1.295 states/eV/atom. The energy of formation is -0.239 eV per atom. The theoretical density comes out at 8.88 Mg/m³. As for the crystal system: monoclinic. As for the energy: -4.181 eV per atom.

Cell lengths 8.959, 3.515, 10.922 Å; angles 90.00, 95.53, 90.00 degrees
Fractional coordinates of all 11 atoms:
1 La 0.000 0.000 0.000
2 La 0.037 0.000 0.338
3 La 0.342 0.000 0.862
4 La 0.658 0.000 0.138
5 La 0.963 0.000 0.662
6 Tb 0.422 0.000 0.362
7 Tb 0.578 0.000 0.638
8 Tl 0.261 0.500 0.575
9 Tl 0.300 0.500 0.128
10 Tl 0.700 0.500 0.872
11 Tl 0.739 0.500 0.425



The following is a PBE-GGA calculation of a relaxed Li3Zn crystal, from Alexandria via LeMat-Bulk.

Computed properties:
The symmetry is P-6m2, No. 187. Its density of states at the Fermi level is 0.480 states/eV/atom. The energy of formation is -0.029 eV per atom. The theoretical density comes out at 2.04 Mg/m³. As for the crystal system: hexagonal. As for the energy: -1.783 eV per atom.

Cell lengths 2.925, 2.925, 9.462 Å; angles 90.00, 90.00, 120.00 degrees
Fractional coordinates of all 4 atoms:
1 Li 0.000 0.000 0.000
2 Li 0.333 0.667 0.266
3 Li 0.333 0.667 0.734
4 Zn 0.000 0.000 0.500